*a*
This record from Alexandria describes a relaxed Mn4Ru3 crystal. The functional is PBE-GGA.

## Properties
Total moment in μB/atom: 1.146
Space-group type: No. 139

Geometry as POSCAR:
```
Mn4Ru3
1.0
-4.235 6.433 8.994
-7.454 4.362 8.100
6.396 -6.799 -7.285
Mn Ru
4 3
direct
0.860 0.860 0.000
0.571 0.571 0.000
0.429 0.429 0.000
0.140 0.140 0.000
0.000 0.000 0.000
0.707 0.707 0.000
0.293 0.293 0.000
```



*b*
This record from Alexandria describes a relaxed Mn4Ru3 crystal. The functional is PBE-GGA.

## Properties
Total moment in μB/atom: 1.011
Space-group type: No. 191

Geometry as POSCAR:
```
Mn4Ru3
1.0
2.510 -4.347 0.000
2.510 4.347 0.000
0.000 0.000 4.416
Mn Ru
4 3
direct
0.000 0.000 0.269
0.000 0.000 0.731
0.667 0.333 0.500
0.333 0.667 0.500
0.000 0.500 0.000
0.500 0.500 0.000
0.500 0.000 0.000
```



Out of the structures above, which one is the least stable? Solution: *b*.